[1]
This record from Alexandria describes a geometry-optimized Ce4ThAl2 structure. The functional is GGA-PBE.

Cell lengths 7.6616, 6.4297, 6.0547 Å; angles 75.65, 54.39, 49.96 degrees
Last column: nearest neighbours and their distance in Å.
Fractional positions:
Ce: 0.0000 0.0000 0.5000  4 Ce 2.81-3.11, 2 Th 3.03
Ce: 0.2500 0.2500 0.2500  4 Ce 2.81-3.11
Ce: 0.5000 0.5000 0.0000  4 Ce 2.81-3.11, 2 Th 3.03
Ce: 0.7500 0.7500 0.7500  4 Ce 2.81-3.11
Th: 0.0000 0.0000 0.0000  4 Ce 3.03
Al: 0.3748 0.3748 0.6252  1 Al 2.82
Al: 0.6252 0.6252 0.3748  1 Al 2.82

E_tot = -38.1 eV per cell
Formation energy from the elements = 0.08 eV per atom
M_tot = 0.07 μB/f.u.

[2]
This record from Alexandria describes a geometry-optimized CeThAl structure. The functional is GGA-PBE.

Cell lengths 5.0413, 5.0413, 7.0057 Å; angles 90.00, 90.00, 120.00 degrees
Last column: nearest neighbours and their distance in Å.
Fractional positions:
Ce: 0.3333 0.6667 0.0000  3 Ce 2.91
Ce: 0.6667 0.3333 0.0000  3 Ce 2.91
Th: 0.0000 0.0000 0.2744  1 Th 3.16, 6 Al 3.31, 6 Ce 3.49
Th: 0.0000 0.0000 0.7256  1 Th 3.16, 6 Al 3.31, 6 Ce 3.49
Al: 0.3333 0.6667 0.5000  3 Al 2.91
Al: 0.6667 0.3333 0.5000  3 Al 2.91

E_tot = -34.2 eV per cell
Formation energy from the elements = -0.01 eV per atom
M_tot = 0.50 μB/f.u.
Excess energy over the best structure of this formula in the dataset = 15.4 kJ per mole of atoms

[3]
This record from Alexandria describes a geometry-optimized Ce6ThAl2 structure. The functional is GGA-PBE.

Cell lengths 7.9520, 7.9520, 7.9520 Å; angles 140.59, 133.97, 62.17 degrees
Last column: nearest neighbours and their distance in Å.
Fractional positions:
Ce: 0.0675 0.7988 0.2687  4 Ce 2.76-3.00
Ce: 0.2151 0.0000 0.2151  3 Ce 2.68-2.76
Ce: 0.4698 0.2012 0.2687  4 Ce 2.76-3.00
Ce: 0.5302 0.7988 0.7313  4 Ce 2.76-3.00
Ce: 0.7849 0.0000 0.7849  3 Ce 2.68-2.76
Ce: 0.9325 0.2012 0.7313  4 Ce 2.76-3.00
Th: 0.5000 0.5000 0.0000  4 Ce 3.21, 4 Al 3.38
Al: 0.0972 0.5972 0.5000  1 Al 2.65
Al: 0.9028 0.4028 0.5000  1 Al 2.65

E_tot = -50.3 eV per cell
Formation energy from the elements = 0.02 eV per atom
M_tot = 1.28 μB/f.u.

[4]
This record from Alexandria describes a geometry-optimized Ce3ThAl2 structure. The functional is GGA-PBE.

Cell lengths 6.6323, 5.0301, 9.4180 Å; angles 90.00, 108.14, 90.00 degrees
Last column: nearest neighbours and their distance in Å.
Fractional positions:
Ce: 0.0912 0.2500 0.0641  2 Ce 2.89, 1 Th 3.04, 1 Al 3.14
Ce: 0.3496 0.7500 0.5951  3 Ce 2.85-2.97, 2 Al 3.09
Ce: 0.4078 0.7500 0.3078  3 Ce 2.85-2.97
Ce: 0.5922 0.2500 0.6922  3 Ce 2.85-2.97
Ce: 0.6504 0.2500 0.4049  3 Ce 2.85-2.97, 2 Al 3.09
Ce: 0.9088 0.7500 0.9359  2 Ce 2.89, 1 Th 3.04, 1 Al 3.14
Th: 0.1286 0.2500 0.7506  2 Ce 3.04-3.29, 5 Al 3.25-3.35
Th: 0.8714 0.7500 0.2494  2 Ce 3.04-3.29, 5 Al 3.25-3.35
Al: 0.1636 0.2500 0.4101  8 Ce 3.09-3.39, 3 Th 3.25-3.29
Al: 0.4067 0.7500 0.9537  2 Al 2.82
Al: 0.5933 0.2500 0.0463  2 Al 2.82
Al: 0.8364 0.7500 0.5899  8 Ce 3.09-3.39, 3 Th 3.25-3.29

E_tot = -67.5 eV per cell
Formation energy from the elements = -0.17 eV per atom
M_tot = 0.00 μB/f.u.

Look up the M_tot of the second one.
0.50 μB/f.u.

Which of these has the highest E_tot?
CeThAl